A.
! AsRuRh3, relaxed, DFT GGA-PBE; values from VASP
! Crystal system ... cubic
! Density of states at the Fermi level ... 7.360 states/eV per cell
! SG ... Pm-3m (221)
&SYSTEM
  ibrav = 0, nat = 5, ntyp = 3
/
ATOMIC_SPECIES
Ru 101.07 Ru.upf
As 74.92 As.upf
Rh 102.91 Rh.upf
ATOMIC_POSITIONS crystal
Ru 0.500 0.500 0.500
As 0.000 0.000 0.000
Rh 0.000 0.500 0.000
Rh 0.000 0.000 0.500
Rh 0.500 0.000 0.000
CELL_PARAMETERS angstrom
-1.408 4.283 -0.083
-3.289 -1.024 2.910
2.745 0.969 3.444



B.
! AsRuRh3, relaxed, DFT GGA-PBE; values from VASP
! Crystal system ... cubic
! Density of states at the Fermi level ... 6.738 states/eV per cell
! SG ... Pm-3m (221)
&SYSTEM
  ibrav = 0, nat = 5, ntyp = 3
/
ATOMIC_SPECIES
Ru 101.07 Ru.upf
As 74.92 As.upf
Rh 102.91 Rh.upf
ATOMIC_POSITIONS crystal
Ru 0.000 0.000 0.000
As 0.500 0.500 0.500
Rh 0.000 0.500 0.000
Rh 0.000 0.000 0.500
Rh 0.500 0.000 0.000
CELL_PARAMETERS angstrom
-2.740 -2.778 2.543
0.724 -3.475 -3.016
3.696 -1.379 2.476



Stability summary - winner: A; margin: 456 meV per atom.